The following is a DFT calculation (PBE-GGA) of a geometry-optimized MgAg2Ru structure.

## Properties
N(E_F) in states/eV per atom: 0.9559
ΔH_f (0 K) in kJ/mol of atoms: 24
SG: Pmmm, No. 47

a b c (Å): 2.7986 4.2395 5.6474
angles (deg): 90.00 90.00 90.00
Closest atoms and distances in Å follow each position.
Atoms (fractional coordinates):
1 Ag 0.0000 0.0000 0.9955  4 Ag 2.77-2.87, 4 Ru 2.89, 4 Mg 2.92
2 Ag 0.0000 0.0000 0.5045  4 Ag 2.77-2.87, 4 Ru 2.89, 4 Mg 2.92
3 Mg 0.5000 0.5000 0.2500  2 Mg 2.80, 2 Ru 2.82, 8 Ag 2.92
4 Ru 0.5000 0.5000 0.7500  2 Ru 2.80, 2 Mg 2.82, 8 Ag 2.89


The following is a DFT calculation (PBE-GGA) of a geometry-optimized NdTmF6 structure.

## Properties
N(E_F) in states/eV per atom: 0.0000
Energy relative to the elements, uncorrected in eV/atom: -3.826
SG: P-31m, No. 162

a b c (Å): 5.3141 5.3141 6.5022
angles (deg): 90.00 90.00 120.00
Closest atoms and distances in Å follow each position.
Atoms (fractional coordinates):
1 Nd 0.0000 0.0000 0.5000  6 F 2.32
2 Tm 0.0000 0.0000 0.0000  6 F 2.18
3 F 0.7083 0.7083 0.2352  1 Tm 2.18, 1 Nd 2.32
4 F 0.2917 0.2917 0.7648  1 Tm 2.18, 1 Nd 2.32
5 F 0.0000 0.7083 0.7648  1 Tm 2.18, 1 Nd 2.32
6 F 0.7083 0.0000 0.7648  1 Tm 2.18, 1 Nd 2.32
7 F 0.0000 0.2917 0.2352  1 Tm 2.18, 1 Nd 2.32
8 F 0.2917 0.0000 0.2352  1 Tm 2.18, 1 Nd 2.32


The following is a DFT calculation (PBE-GGA) of a geometry-optimized EuP3 structure.

## Properties
N(E_F) in states/eV per atom: 0.0831
ΔH_f (0 K) in kJ/mol of atoms: -66
SG: C2/m, No. 12

a b c (Å): 5.5009 5.7542 5.7542
angles (deg): 77.56 72.43 72.43
Closest atoms and distances in Å follow each position.
Atoms (fractional coordinates):
1 Eu 0.1541 0.6635 0.6635  7 P 2.95-3.17
2 Eu 0.8459 0.3365 0.3365  7 P 2.95-3.17
3 P 0.2949 0.9961 0.9961  3 P 2.23-2.28
4 P 0.7051 0.0039 0.0039  3 P 2.23-2.28
5 P 0.6860 0.4014 0.8770  2 P 2.23-2.24
6 P 0.3140 0.1230 0.5986  2 P 2.23-2.24
7 P 0.3140 0.5986 0.1230  2 P 2.23-2.24
8 P 0.6860 0.8770 0.4014  2 P 2.23-2.24


The following is a DFT calculation (PBE-GGA) of a geometry-optimized Ho2Tm2Te5 structure.

## Properties
N(E_F) in states/eV per atom: 0.3964
Energy relative to the elements, uncorrected in eV/atom: -1.142
SG: Cmmm, No. 65

a b c (Å): 6.0078 9.6535 6.0790
angles (deg): 90.02 90.00 108.13
Closest atoms and distances in Å follow each position.
Atoms (fractional coordinates):
1 Ho 0.1565 0.3129 0.0000  6 Te 2.87-3.21
2 Ho 0.8435 0.6871 0.0000  6 Te 2.87-3.21
3 Tm 0.3147 0.6295 0.5000  5 Te 2.99-3.07
4 Tm 0.6852 0.3705 0.5000  5 Te 2.99-3.07
5 Te 0.3313 0.6627 0.0000  3 Ho 3.01-3.21, 2 Tm 3.05
6 Te 0.6687 0.3373 0.0000  3 Ho 3.01-3.21, 2 Tm 3.05
7 Te 0.1520 0.3039 0.5000  3 Tm 2.99-3.07, 2 Ho 3.04
8 Te 0.8480 0.6961 0.5000  3 Tm 2.99-3.07, 2 Ho 3.04
9 Te 0.0000 0.0000 0.0000  2 Ho 2.87


The following is a DFT calculation (PBE-GGA) of a geometry-optimized CsP2PtCl structure.

## Properties
N(E_F) in states/eV per atom: 1.3360
Energy relative to the elements, uncorrected in eV/atom: 1.997
SG: P4/mmm, No. 123
E above lowest polymorph in meV per atom: 2229

a b c (Å): 5.9947 5.9947 6.0957
angles (deg): 90.00 90.00 90.00
Closest atoms and distances in Å follow each position.
Atoms (fractional coordinates):
1 Cs 0.0000 0.0000 0.0000  4 P 3.00, 2 Cl 3.05
2 P 0.0000 0.5000 0.0000  2 Cs 3.00
3 P 0.5000 0.0000 0.0000  2 Cs 3.00
4 Pt 0.5000 0.5000 0.5000  4 Cl 4.24, 8 P 4.27
5 Cl 0.0000 0.0000 0.5000  2 Cs 3.05


The following is a DFT calculation (PBE-GGA) of a geometry-optimized CaBr structure.

## Properties
N(E_F) in states/eV per atom: 1.0848
Energy relative to the elements, uncorrected in eV/atom: -1.012
SG: Pm-3m, No. 221

a b c (Å): 3.8002 3.8002 3.8002
angles (deg): 90.00 90.00 90.00
Closest atoms and distances in Å follow each position.
Atoms (fractional coordinates):
1 Ca 0.5000 0.5000 0.5000  8 Br 3.29
2 Br 0.0000 0.0000 0.0000  8 Ca 3.29


no.,calculated total energy (eV per atom)
1,-3.898
2,-6.385
3,-7.306
4,-4.899
5,-1.916
6,-2.850